Tm3Ag3MoO8: relaxed, PBE with a Hubbard U.

a b c (Å): 6.7590 6.7590 6.6113
angles (deg): 115.44 115.44 59.20
Fractional positions:
Tm1 0.0000 0.0000 0.0000
Tm2 0.0000 0.5000 0.0000
Tm3 0.5000 0.0000 0.0000
Ag1 0.0000 0.5000 0.5000
Ag2 0.5000 0.0000 0.5000
Ag3 0.5000 0.5000 0.5000
Mo1 0.5000 0.5000 0.0000
O1 0.2173 0.2173 0.1843
O2 0.2396 0.7036 0.1796
O3 0.2864 0.2864 0.8076
O4 0.2964 0.7604 0.8204
O5 0.7036 0.2396 0.1796
O6 0.7136 0.7136 0.1924
O7 0.7604 0.2964 0.8204
O8 0.7827 0.7827 0.8157

Output
Total energy in eV/atom: -6.652